A plane-wave DFT calculation with PBE was carried out for TlAgSe2 after structural relaxation.

It has space group R3m (No. 160, hexagonal axes), with a = 4.4302 Å, b = 4.4302 Å, c = 21.3682 Å, α = 90.00°, β = 90.00° and γ = 120.00°. Symmetry generates all atoms from Tl at (0.0000, 0.0000, 0.0000), Ag at (0.0000, 0.0000, 0.4834), Se at (0.0000, 0.0000, 0.1245) and Se at (0.0000, 0.0000, 0.6117).

Its uncorrected formation energy is -0.16 eV per atom. As for the calculated volume: 121 Å³/f.u.